A relaxed Rb2MnVO4 crystal. Source: Alexandria via LeMat-Bulk, functional PBE with a Hubbard U.

Properties
final energy = -6.2205 eV/atom
space group = Fddd (70)

a = 12.331 Å, b = 10.989 Å, c = 6.667 Å
α = 84.85°, β = 62.57°, γ = 32.58°
Fractional positions:
Rb  0.049  0.049  0.701
Rb  0.299  0.299  0.951
Rb  0.701  0.701  0.049
Rb  0.951  0.951  0.299
Mn  0.125  0.125  0.125
Mn  0.875  0.875  0.875
V  0.375  0.375  0.375
V  0.625  0.625  0.625
O  0.025  0.632  0.550
O  0.293  0.550  0.632
O  0.368  0.975  0.707
O  0.450  0.707  0.975
O  0.550  0.293  0.025
O  0.632  0.025  0.293
O  0.707  0.450  0.368
O  0.975  0.368  0.450